Record 1
This record from Alexandria describes a relaxed structure of KPd2S2. The functional is GGA-PBE.

Cell: 7.9874 7.9874 3.0835 Å, 90.00 90.00 90.00°
Closest atoms and distances in Å follow each position.
Positions (direct):
K  0.0000  0.0000  0.0000  4 S 3.01, 2 K 3.08, 8 Pd 3.30
K  0.5000  0.5000  0.0000  4 S 3.01, 2 K 3.08, 8 Pd 3.30
S  0.3416  0.8416  0.0000  2 Pd 2.36
S  0.8416  0.6584  0.0000  2 Pd 2.36
S  0.6584  0.1584  0.0000  2 Pd 2.36
S  0.1584  0.3416  0.0000  2 Pd 2.36
Pd  0.1835  0.6835  0.5000  2 S 2.36
Pd  0.6835  0.8165  0.5000  2 S 2.36
Pd  0.8165  0.3165  0.5000  2 S 2.36
Pd  0.3165  0.1835  0.5000  2 S 2.36

Results
Raw formation energy, eV/atom: -0.149
Symmetry: P4/mbm
Size of the total moment, μB/atom: 0.00

=====

Record 2
This record from Alexandria describes a relaxed structure of La4CeDy3. The functional is GGA-PBE.

Cell: 3.4430 6.2401 12.7823 Å, 96.67 97.74 90.00°
Closest atoms and distances in Å follow each position.
Positions (direct):
Dy  0.0000  0.5000  0.0000  2 La 3.24, 2 Dy 3.44, 4 Ce 3.56
Dy  0.1403  0.7396  0.2806  3 La 3.26-3.51, 2 Dy 3.44
Dy  0.8597  0.2604  0.7194  3 La 3.26-3.51, 2 Dy 3.44
Ce  0.5000  0.0000  0.0000  4 La 3.25, 2 Ce 3.44, 4 Dy 3.56
La  0.7204  0.2333  0.4407  6 La 3.44-3.84, 1 Dy 3.51
La  0.2796  0.7667  0.5593  6 La 3.44-3.84, 1 Dy 3.51
La  0.1005  0.2232  0.2010  3 Dy 3.24-3.29, 2 Ce 3.25, 4 La 3.44-3.49
La  0.8995  0.7768  0.7990  3 Dy 3.24-3.29, 2 Ce 3.25, 4 La 3.44-3.49

Results
Calculated formation energy, eV per atom: 0.24
Symmetry: C2/m
Size of the total moment, μB/atom: 0.00

=====

Record 3
This record from Alexandria describes a relaxed structure of TlCuHSe2. The functional is GGA-PBE.

Cell: 3.4509 7.6977 9.2039 Å, 70.25 79.19 77.05°
Closest atoms and distances in Å follow each position.
Positions (direct):
Tl  0.8578  0.6218  0.6625  1 H 3.09, 6 Se 3.25-3.44, 2 Tl 3.45
Tl  0.1422  0.3782  0.3375  1 H 3.09, 6 Se 3.25-3.44, 2 Tl 3.45
Cu  0.0302  0.0962  0.8434  4 Se 2.39-2.53
Cu  0.9698  0.9038  0.1566  4 Se 2.39-2.53
H  0.3396  0.2996  0.0211  2 Se 1.79
H  0.6604  0.7004  0.9789  2 Se 1.79
Se  0.4608  0.7475  0.3309  2 Cu 2.39
Se  0.5392  0.2525  0.6691  2 Cu 2.39
Se  0.8482  0.2427  0.0608  2 H 1.79
Se  0.1518  0.7573  0.9392  2 H 1.79

Results
Symmetry: C2/m
Size of the total moment, μB/atom: 0.00
Calculated total energy, eV per atom: -3.404

=====

Record 4
This record from Alexandria describes a relaxed structure of CsKZnAu3. The functional is GGA-PBE.

Cell: 8.0741 7.1041 8.3659 Å, 64.88 85.14 78.49°
Closest atoms and distances in Å follow each position.
Positions (direct):
Cs  0.2500  0.2617  0.4767  6 Au 3.62-3.68
Cs  0.7500  0.7383  0.5233  6 Au 3.62-3.68
K  0.2500  0.5745  0.8511  5 Au 3.52-3.65, 2 Zn 3.77
K  0.7500  0.4255  0.1489  5 Au 3.52-3.65, 2 Zn 3.77
Zn  0.7500  0.0089  0.9822  5 Au 2.57-2.66
Zn  0.2500  0.9911  0.0178  5 Au 2.57-2.66
Au  0.5180  0.9084  0.8519  2 Zn 2.57-2.60
Au  0.9820  0.2397  0.8519  2 Zn 2.57-2.60
Au  0.7500  0.1848  0.6305  1 Zn 2.66, 2 Au 2.93
Au  0.4820  0.0916  0.1481  2 Zn 2.57-2.60
Au  0.0180  0.7603  0.1481  2 Zn 2.57-2.60
Au  0.2500  0.8152  0.3695  1 Zn 2.66, 2 Au 2.93

Results
Calculated formation energy, eV per atom: -0.17
Symmetry: C2/c
Size of the total moment, μB/atom: 0.00

=====

Record 5
This record from Alexandria describes a relaxed structure of Cd3In3I. The functional is GGA-PBE.

Cell: 8.1985 8.1985 8.1985 Å, 90.00 90.00 90.00°
Closest atoms and distances in Å follow each position.
Positions (direct):
I  0.5000  0.5000  0.5000  12 Cd 4.58, 12 In 4.58
I  0.0000  0.0000  0.0000  12 Cd 4.58, 12 In 4.58
Cd  0.2500  0.0000  0.5000  4 In 2.90
Cd  0.0000  0.5000  0.2500  4 In 2.90
Cd  0.5000  0.7500  0.0000  4 In 2.90
Cd  0.7500  0.0000  0.5000  4 In 2.90
Cd  0.0000  0.5000  0.7500  4 In 2.90
Cd  0.5000  0.2500  0.0000  4 In 2.90
In  0.0000  0.2500  0.5000  4 Cd 2.90
In  0.0000  0.7500  0.5000  4 Cd 2.90
In  0.5000  0.0000  0.7500  4 Cd 2.90
In  0.7500  0.5000  0.0000  4 Cd 2.90
In  0.5000  0.0000  0.2500  4 Cd 2.90
In  0.2500  0.5000  0.0000  4 Cd 2.90

Results
Raw formation energy, eV/atom: 0.266
Symmetry: Pm-3n
Size of the total moment, μB/atom: 0.00

=====

Record 6
This record from Alexandria describes a relaxed structure of LiAg. The functional is GGA-PBE.

Cell: 8.4811 8.4811 4.1424 Å, 90.00 90.00 90.00°
Closest atoms and distances in Å follow each position.
Positions (direct):
Li  0.8235  0.8235  0.5000  4 Ag 2.74-2.77, 6 Li 2.93-2.99
Li  0.8235  0.1765  0.5000  4 Ag 2.74-2.77, 6 Li 2.93-2.99
Li  0.1765  0.8235  0.5000  4 Ag 2.74-2.77, 6 Li 2.93-2.99
Li  0.1765  0.1765  0.5000  4 Ag 2.74-2.77, 6 Li 2.93-2.99
Li  0.6556  0.0000  0.0000  5 Li 2.64-2.93, 6 Ag 2.80-2.84
Li  0.3444  0.0000  0.0000  5 Li 2.64-2.93, 6 Ag 2.80-2.84
Li  0.0000  0.3444  0.0000  5 Li 2.64-2.93, 6 Ag 2.80-2.84
Li  0.0000  0.6556  0.0000  5 Li 2.64-2.93, 6 Ag 2.80-2.84
Ag  0.8323  0.5000  0.5000  6 Li 2.74-2.84, 5 Ag 2.84-2.87
Ag  0.1677  0.5000  0.5000  6 Li 2.74-2.84, 5 Ag 2.84-2.87
Ag  0.5000  0.1677  0.5000  6 Li 2.74-2.84, 5 Ag 2.84-2.87
Ag  0.5000  0.8323  0.5000  6 Li 2.74-2.84, 5 Ag 2.84-2.87
Ag  0.6698  0.6698  0.0000  4 Li 2.77-2.80, 6 Ag 2.87-2.88
Ag  0.6698  0.3302  0.0000  4 Li 2.77-2.80, 6 Ag 2.87-2.88
Ag  0.3302  0.6698  0.0000  4 Li 2.77-2.80, 6 Ag 2.87-2.88
Ag  0.3302  0.3302  0.0000  4 Li 2.77-2.80, 6 Ag 2.87-2.88

Results
Calculated formation energy, eV per atom: -0.07
Symmetry: P4/mmm
Size of the total moment, μB/atom: 0.00

=====

Record 7
This record from Alexandria describes a relaxed structure of TbPm10Ho4. The functional is GGA-PBE.

Cell: 7.7600 9.5215 9.5215 Å, 80.44 65.95 65.95°
Closest atoms and distances in Å follow each position.
Positions (direct):
Tb  0.0000  0.0000  0.0000  8 Pm 3.37
Pm  0.2500  0.5000  0.5000  4 Ho 3.37
Pm  0.6500  0.3003  0.8992  3 Ho 3.36-3.37, 1 Tb 3.37
Pm  0.0497  0.1008  0.3003  3 Ho 3.36-3.37, 1 Tb 3.37
Pm  0.4508  0.8992  0.6997  3 Ho 3.36-3.37, 1 Tb 3.37
Pm  0.8495  0.6997  0.1008  3 Ho 3.36-3.37, 1 Tb 3.37
Pm  0.3500  0.6997  0.1008  3 Ho 3.36-3.37, 1 Tb 3.37
Pm  0.7500  0.5000  0.5000  4 Ho 3.37
Pm  0.1505  0.3003  0.8992  3 Ho 3.36-3.37, 1 Tb 3.37
Pm  0.5492  0.1008  0.3003  3 Ho 3.36-3.37, 1 Tb 3.37
Pm  0.9503  0.8992  0.6997  3 Ho 3.36-3.37, 1 Tb 3.37
Ho  0.3998  0.8004  0.4000  8 Pm 3.36-3.37
Ho  0.7998  0.6000  0.8004  8 Pm 3.36-3.37
Ho  0.2002  0.4000  0.1996  8 Pm 3.36-3.37
Ho  0.6002  0.1996  0.6000  8 Pm 3.36-3.37

Results
Calculated formation energy, eV per atom: 0.70
Symmetry: I4/m
Size of the total moment, μB/atom: 0.00

=====

Record 8
This record from Alexandria describes a relaxed structure of BaCrTc2Pb. The functional is GGA-PBE.

Cell: 5.0159 5.9289 5.0159 Å, 90.00 90.00 90.00°
Closest atoms and distances in Å follow each position.
Positions (direct):
Pb  0.0000  0.5000  0.0000  2 Ba 2.96
Cr  0.5000  0.5000  0.5000  4 Pb 3.55, 8 Tc 3.88
Ba  0.0000  0.0000  0.0000  4 Tc 2.51
Tc  0.0000  0.0000  0.5000  2 Ba 2.51
Tc  0.5000  0.0000  0.0000  2 Ba 2.51

Results
Calculated formation energy, eV per atom: 3.11
Symmetry: P4/mmm
Size of the total moment, μB/atom: 0.66

=====

Record 9
This record from Alexandria describes a relaxed structure of BeB2W2. The functional is GGA-PBE.

Cell: 3.1854 4.4106 4.4104 Å, 62.90 68.83 68.83°
Closest atoms and distances in Å follow each position.
Positions (direct):
Be  0.5000  0.5000  0.0000  4 B 2.09
B  0.0000  0.2063  0.2937  1 B 1.90, 2 Be 2.09
B  0.0000  0.7937  0.7063  1 B 1.90, 2 Be 2.09
W  0.2926  0.2074  0.7074  6 B 2.33-2.41, 2 Be 2.55
W  0.7074  0.7926  0.2926  6 B 2.33-2.41, 2 Be 2.55

Results
Calculated formation energy, eV per atom: -0.34
Symmetry: Immm
Size of the total moment, μB/atom: 0.00

=====

Record 10
This record from Alexandria describes a relaxed structure of Ti3Ga3Cu. The functional is GGA-PBE.

Cell: 5.0412 5.0412 9.7244 Å, 91.03 91.03 113.15°
Closest atoms and distances in Å follow each position.
Positions (direct):
Ti  0.5036  0.5036  0.3685  1 Ti 2.56, 5 Ga 2.68-2.78, 1 Cu 2.78
Ti  0.1830  0.8170  0.5000  4 Ga 2.74-2.77, 4 Ti 2.96-3.00
Ti  0.8170  0.1830  0.5000  4 Ga 2.74-2.77, 4 Ti 2.96-3.00
Ti  0.2624  0.7376  0.0000  4 Cu 2.73-2.82, 2 Ti 2.78, 8 Ga 2.81-2.98
Ti  0.7376  0.2624  0.0000  4 Cu 2.73-2.82, 2 Ti 2.78, 8 Ga 2.81-2.98
Ti  0.4964  0.4964  0.6315  1 Ti 2.56, 5 Ga 2.68-2.78, 1 Cu 2.78
Ga  0.7762  0.7762  0.1339  2 Cu 2.46-2.61, 2 Ga 2.53
Ga  0.0013  0.5219  0.7378  1 Cu 2.45, 1 Ga 2.53, 2 Ti 2.68-2.74
Ga  0.5219  0.0013  0.7378  1 Cu 2.45, 1 Ga 2.53, 2 Ti 2.68-2.74
Ga  0.9987  0.4781  0.2622  1 Cu 2.45, 1 Ga 2.53, 2 Ti 2.68-2.74
Ga  0.4781  0.9987  0.2622  1 Cu 2.45, 1 Ga 2.53, 2 Ti 2.68-2.74
Ga  0.2238  0.2238  0.8661  2 Cu 2.46-2.61, 2 Ga 2.53
Cu  0.7550  0.7550  0.8810  4 Ga 2.45-2.61, 2 Ti 2.73
Cu  0.2450  0.2450  0.1190  4 Ga 2.45-2.61, 2 Ti 2.73

Results
Calculated formation energy, eV per atom: -0.24
Symmetry: C2/m
Size of the total moment, μB/atom: 0.02

=====

Record 11
This record from Alexandria describes a relaxed structure of MgAl2Tl. The functional is GGA-PBE.

Cell: 5.5408 5.5408 5.1355 Å, 81.17 81.17 33.09°
Closest atoms and distances in Å follow each position.
Positions (direct):
Al  0.0072  0.0072  0.9831  6 Al 2.89-3.16, 3 Mg 3.10-3.15, 1 Tl 3.11
Al  0.4928  0.4928  0.5169  6 Al 2.89-3.16, 3 Mg 3.10-3.15, 1 Tl 3.11
Mg  0.7500  0.7500  0.7500  4 Tl 3.01, 6 Al 3.10-3.15, 2 Mg 3.16
Tl  0.2500  0.2500  0.2500  4 Mg 3.01, 6 Al 3.11-3.26, 2 Tl 3.16

Results
Calculated formation energy, eV per atom: 0.16
Symmetry: C2/m
Size of the total moment, μB/atom: 0.00

=====

Record 12
This record from Alexandria describes a relaxed structure of Tl3Zn. The functional is GGA-PBE.

Cell: 5.4283 5.4283 5.4283 Å, 90.00 90.00 90.00°
Closest atoms and distances in Å follow each position.
Positions (direct):
Tl  0.5000  0.0000  0.0000  2 Zn 2.71
Tl  0.0000  0.5000  0.0000  2 Zn 2.71
Tl  0.0000  0.0000  0.5000  2 Zn 2.71
Zn  0.0000  0.0000  0.0000  6 Tl 2.71

Results
Calculated formation energy, eV per atom: 0.36
Symmetry: Pm-3m
Size of the total moment, μB/atom: 0.00